# 1
{"formula": "Zr2As2H", "functional": "PBE", "state": "relaxed", "de_polymorph_mev_per_atom": 144, "total_energy_ev_per_atom": -6.606, "total_magnetization_mub_per_fu": 0.0, "n_ef_per_ev_fu": 3.585, "lattice": [[6.9711, 0.0000, 0.0000], [0.0000, 6.9711, 0.0000], [0.0000, 0.0000, 3.6965]], "species": ["Zr", "Zr", "Zr", "Zr", "As", "As", "As", "As", "H", "H"], "fractional_positions": [[0.1588, 0.3412, 0.0000], [0.3412, 0.8412, 0.0000], [0.6588, 0.1588, 0.0000], [0.8412, 0.6588, 0.0000], [0.1450, 0.6450, 0.5000], [0.3550, 0.1450, 0.5000], [0.6450, 0.8550, 0.5000], [0.8550, 0.3550, 0.5000], [0.0000, 0.0000, 0.0000], [0.5000, 0.5000, 0.0000]]}


# 2
{"formula": "Mg3Si4", "functional": "PBE", "state": "relaxed", "de_polymorph_mev_per_atom": 69, "total_energy_ev_per_atom": -3.661, "total_magnetization_mub_per_fu": 0.0, "formation_energy_uncorrected_ev_per_atom": 0.1216, "n_ef_per_ev_fu": 1.998, "lattice": [[5.3609, 0.0000, 0.0000], [0.1663, 7.1591, 0.0000], [0.5279, 3.2399, 6.6439]], "species": ["Mg", "Mg", "Mg", "Mg", "Mg", "Mg", "Si", "Si", "Si", "Si", "Si", "Si", "Si", "Si"], "fractional_positions": [[0.0000, 0.0000, 0.0000], [0.0427, 0.8433, 0.4522], [0.2599, 0.4148, 0.7887], [0.3545, 0.6003, 0.2334], [0.5337, 0.1436, 0.2023], [0.7852, 0.6581, 0.8928], [0.0332, 0.2826, 0.1929], [0.2659, 0.1696, 0.5482], [0.2914, 0.8026, 0.7953], [0.5306, 0.0569, 0.8695], [0.5445, 0.7415, 0.5226], [0.7706, 0.1592, 0.5302], [0.7896, 0.4164, 0.6725], [0.8477, 0.5531, 0.2998]]}